(1)
Computed, not measured: crystalline PrSmZn2Pb2 at its relaxed geometry at the PBE-GGA level of DFT.

Output
Polymorph energy (0 for the lowest one) ... 0 meV per atom
Space-group type ... No. 194

Cell: 4.6580 4.6580 16.5920 Å, 90.00 90.00 120.00°
With the nearest neighbours (Å) after each atom.
Sites, in units of the cell vectors:
Pr1 0.0000 0.0000 0.0000  6 Pb 3.29
Pr2 0.0000 0.0000 0.5000  6 Pb 3.29
Sm1 0.0000 0.0000 0.2500  6 Zn 3.04
Sm2 0.0000 0.0000 0.7500  6 Zn 3.04
Zn1 0.3333 0.6667 0.1648  3 Pb 2.82, 1 Zn 2.83, 3 Sm 3.04
Zn2 0.3333 0.6667 0.3352  3 Pb 2.82, 1 Zn 2.83, 3 Sm 3.04
Zn3 0.6667 0.3333 0.6648  3 Pb 2.82, 1 Zn 2.83, 3 Sm 3.04
Zn4 0.6667 0.3333 0.8352  3 Pb 2.82, 1 Zn 2.83, 3 Sm 3.04
Pb1 0.3333 0.6667 0.6142  3 Zn 2.82
Pb2 0.3333 0.6667 0.8858  3 Zn 2.82
Pb3 0.6667 0.3333 0.1142  3 Zn 2.82
Pb4 0.6667 0.3333 0.3858  3 Zn 2.82

---

(2)
Computed, not measured: crystalline MoI at its relaxed geometry at the PBE-GGA level of DFT.

Output
Polymorph energy (0 for the lowest one) ... 98 meV per atom
Space-group type ... No. 194

Cell: 3.2995 3.2995 8.5131 Å, 90.00 90.00 120.00°
With the nearest neighbours (Å) after each atom.
Sites, in units of the cell vectors:
Mo1 0.3333 0.6667 0.2500  6 I 2.86
Mo2 0.6667 0.3333 0.7500  6 I 2.86
I1 0.0000 0.0000 0.0000  6 Mo 2.86
I2 0.0000 0.0000 0.5000  6 Mo 2.86

---

(3)
Computed, not measured: crystalline Cs2NaHgF6 at its relaxed geometry at the PBE-GGA level of DFT.

Output
Polymorph energy (0 for the lowest one) ... 1 meV per atom
Space-group type ... No. 225

Cell: 6.2331 6.2331 6.2331 Å, 60.00 60.00 60.00°
With the nearest neighbours (Å) after each atom.
Sites, in units of the cell vectors:
Cs1 0.2500 0.2500 0.2500  12 F 3.12
Cs2 0.7500 0.7500 0.7500  12 F 3.12
Na1 0.0000 0.0000 0.0000  6 F 2.22
Hg1 0.5000 0.5000 0.5000  6 F 2.19
F1 0.2513 0.2513 0.7487  1 Hg 2.19, 1 Na 2.22
F2 0.2513 0.7487 0.2513  1 Hg 2.19, 1 Na 2.22
F3 0.2513 0.7487 0.7487  1 Hg 2.19, 1 Na 2.22
F4 0.7487 0.2513 0.2513  1 Hg 2.19, 1 Na 2.22
F5 0.7487 0.2513 0.7487  1 Hg 2.19, 1 Na 2.22
F6 0.7487 0.7487 0.2513  1 Hg 2.19, 1 Na 2.22

---

(4)
Computed, not measured: crystalline ScAlNi2 at its relaxed geometry at the PBE-GGA level of DFT.

Output
Space-group type ... No. 123

Cell: 4.2644 4.2644 3.0354 Å, 90.00 90.00 90.00°
With the nearest neighbours (Å) after each atom.
Sites, in units of the cell vectors:
Sc1 0.0000 0.0000 0.0000  8 Ni 2.62
Al1 0.5000 0.5000 0.0000  8 Ni 2.62
Ni1 0.0000 0.5000 0.5000  4 Sc 2.62, 4 Al 2.62
Ni2 0.5000 0.0000 0.5000  4 Sc 2.62, 4 Al 2.62

---

Number 1: final energy -3.71 eV per atom. Number 2: final energy -5.12 eV per atom. Number 3: final energy -3.58 eV per atom. Number 4: final energy -5.85 eV per atom.